one) {"formula": "PmGa2Ni4", "functional": "GGA-PBE", "state": "relaxed", "rho_g_cm3": 6.7, "lattice": [[-3.471, 3.471, 2.688], [3.471, -3.471, 2.688], [3.471, 3.471, -2.688]], "species": ["Pm", "Ga", "Ga", "Ni", "Ni", "Ni", "Ni"], "fractional_positions": [[0.000, 0.000, 0.000], [0.250, 0.750, 0.500], [0.750, 0.250, 0.500], [0.272, 0.500, 0.772], [0.500, 0.272, 0.772], [0.500, 0.728, 0.228], [0.728, 0.500, 0.228]]}


two) {"formula": "PmGa2Ni4", "functional": "GGA-PBE", "state": "relaxed", "rho_g_cm3": 8.4, "lattice": [[7.322, 0.000, 0.000], [0.000, 7.322, 0.000], [0.000, 0.000, 3.851]], "species": ["Pm", "Pm", "Ga", "Ga", "Ga", "Ga", "Ni", "Ni", "Ni", "Ni", "Ni", "Ni", "Ni", "Ni"], "fractional_positions": [[0.000, 0.000, 0.000], [0.500, 0.500, 0.500], [0.221, 0.221, 0.500], [0.279, 0.721, 0.000], [0.721, 0.279, 0.000], [0.779, 0.779, 0.500], [0.088, 0.647, 0.500], [0.147, 0.412, 0.000], [0.353, 0.912, 0.500], [0.412, 0.147, 0.000], [0.588, 0.853, 0.000], [0.647, 0.088, 0.500], [0.853, 0.588, 0.000], [0.912, 0.353, 0.500]]}


Stability summary - winner: two); margin: 0.490 eV/atom.


one) {"formula": "PmGa3Ni", "functional": "GGA-PBE", "state": "relaxed", "rho_g_cm3": 7.5, "lattice": [[-2.129, 2.129, 5.076], [2.129, -2.129, 5.076], [2.129, 2.129, -5.076]], "species": ["Pm", "Ga", "Ga", "Ga", "Ni"], "fractional_positions": [[0.000, 0.000, 0.000], [0.251, 0.751, 0.500], [0.585, 0.585, 0.000], [0.751, 0.251, 0.500], [0.356, 0.356, 0.000]]}


two) {"formula": "PmGa3Ni", "functional": "GGA-PBE", "state": "relaxed", "rho_g_cm3": 7.1, "lattice": [[4.593, 0.000, 0.000], [0.000, 4.593, 0.000], [0.000, 0.000, 4.593]], "species": ["Pm", "Ga", "Ga", "Ga", "Ni"], "fractional_positions": [[0.000, 0.000, 0.000], [0.000, 0.500, 0.500], [0.500, 0.000, 0.500], [0.500, 0.500, 0.000], [0.500, 0.500, 0.500]]}


Stability summary - winner: one); margin: 0.224 eV/atom.


one) {"formula": "PmGa4Ni2", "functional": "GGA-PBE", "state": "relaxed", "rho_g_cm3": 7.7, "lattice": [[7.660, 0.000, 0.000], [0.000, 7.660, 0.000], [0.000, 0.000, 3.983]], "species": ["Pm", "Pm", "Ga", "Ga", "Ga", "Ga", "Ga", "Ga", "Ga", "Ga", "Ni", "Ni", "Ni", "Ni"], "fractional_positions": [[0.000, 0.000, 0.000], [0.500, 0.500, 0.500], [0.080, 0.325, 0.500], [0.175, 0.580, 0.000], [0.325, 0.080, 0.500], [0.420, 0.825, 0.000], [0.580, 0.175, 0.000], [0.675, 0.920, 0.500], [0.825, 0.420, 0.000], [0.920, 0.675, 0.500], [0.220, 0.780, 0.500], [0.280, 0.280, 0.000], [0.720, 0.720, 0.000], [0.780, 0.220, 0.500]]}


two) {"formula": "PmGa4Ni2", "functional": "GGA-PBE", "state": "relaxed", "rho_g_cm3": 7.8, "lattice": [[17.034, 0.000, 0.000], [0.000, 4.199, 0.000], [0.000, 0.000, 6.439]], "species": ["Pm", "Pm", "Pm", "Pm", "Ga", "Ga", "Ga", "Ga", "Ga", "Ga", "Ga", "Ga", "Ga", "Ga", "Ga", "Ga", "Ga", "Ga", "Ga", "Ga", "Ni", "Ni", "Ni", "Ni", "Ni", "Ni", "Ni", "Ni"], "fractional_positions": [[0.138, 0.250, 0.013], [0.362, 0.750, 0.513], [0.638, 0.250, 0.487], [0.862, 0.750, 0.987], [0.034, 0.750, 0.824], [0.075, 0.250, 0.501], [0.184, 0.750, 0.325], [0.196, 0.750, 0.726], [0.304, 0.250, 0.226], [0.316, 0.250, 0.825], [0.425, 0.750, 0.001], [0.466, 0.250, 0.324], [0.534, 0.750, 0.676], [0.575, 0.250, 0.999], [0.684, 0.750, 0.175], [0.696, 0.750, 0.774], [0.804, 0.250, 0.274], [0.816, 0.250, 0.675], [0.925, 0.750, 0.499], [0.966, 0.250, 0.176], [0.037, 0.750, 0.256], [0.218, 0.250, 0.530], [0.282, 0.750, 0.030], [0.463, 0.250, 0.756], [0.537, 0.750, 0.244], [0.718, 0.250, 0.970], [0.782, 0.750, 0.470], [0.963, 0.250, 0.744]]}


Stability summary - winner: two); margin: 0.099 eV/atom.


one) {"formula": "Pm2Ga3Ni2", "functional": "GGA-PBE", "state": "relaxed", "rho_g_cm3": 7.4, "lattice": [[1.924, -9.526, 0.000], [1.924, 9.526, 0.000], [0.000, 0.000, 3.799]], "species": ["Pm", "Pm", "Ga", "Ga", "Ga", "Ni", "Ni"], "fractional_positions": [[0.164, 0.836, 0.000], [0.836, 0.164, 0.000], [0.000, 0.000, 0.000], [0.430, 0.570, 0.500], [0.570, 0.430, 0.500], [0.293, 0.707, 0.500], [0.707, 0.293, 0.500]]}


two) {"formula": "Pm2Ga3Ni2", "functional": "GGA-PBE", "state": "relaxed", "rho_g_cm3": 7.6, "lattice": [[2.102, -9.138, 0.000], [2.102, 9.138, 0.000], [0.000, 0.000, 6.970]], "species": ["Pm", "Pm", "Pm", "Pm", "Ga", "Ga", "Ga", "Ga", "Ga", "Ga", "Ni", "Ni", "Ni", "Ni"], "fractional_positions": [[0.059, 0.941, 0.750], [0.162, 0.838, 0.250], [0.838, 0.162, 0.750], [0.941, 0.059, 0.250], [0.223, 0.777, 0.750], [0.437, 0.563, 0.569], [0.437, 0.563, 0.931], [0.563, 0.437, 0.069], [0.563, 0.437, 0.431], [0.777, 0.223, 0.250], [0.307, 0.693, 0.058], [0.307, 0.693, 0.442], [0.693, 0.307, 0.558], [0.693, 0.307, 0.942]]}


Stability summary - winner: two); margin: 0.154 eV/atom.


one) {"formula": "PmGa2Ni3", "functional": "GGA-PBE", "state": "relaxed", "rho_g_cm3": 8.2, "lattice": [[5.283, 0.000, 0.000], [-2.642, 4.576, 0.000], [0.000, 0.000, 3.848]], "species": ["Pm", "Ga", "Ga", "Ni", "Ni", "Ni"], "fractional_positions": [[0.000, 0.000, 0.000], [0.333, 0.667, 0.000], [0.667, 0.333, 0.000], [0.000, 0.500, 0.500], [0.500, 0.000, 0.500], [0.500, 0.500, 0.500]]}


two) {"formula": "PmGa2Ni3", "functional": "GGA-PBE", "state": "relaxed", "rho_g_cm3": 8.0, "lattice": [[4.686, -3.908, 0.000], [4.686, 3.908, 0.000], [0.000, 0.000, 5.195]], "species": ["Pm", "Pm", "Ga", "Ga", "Ga", "Ga", "Ni", "Ni", "Ni", "Ni", "Ni", "Ni"], "fractional_positions": [[0.188, 0.812, 0.750], [0.812, 0.188, 0.250], [0.280, 0.280, 0.000], [0.280, 0.280, 0.500], [0.720, 0.720, 0.000], [0.720, 0.720, 0.500], [0.054, 0.612, 0.250], [0.388, 0.946, 0.250], [0.450, 0.550, 0.250], [0.550, 0.450, 0.750], [0.612, 0.054, 0.750], [0.946, 0.388, 0.750]]}


Stability summary - winner: one); margin: 0.071 eV/atom.


one) {"formula": "Pm3Ga8Ni3", "functional": "GGA-PBE", "state": "relaxed", "rho_g_cm3": 7.7, "lattice": [[-2.122, 4.878, 6.106], [2.122, -4.878, 6.106], [2.122, 4.878, -6.106]], "species": ["Pm", "Pm", "Pm", "Ga", "Ga", "Ga", "Ga", "Ga", "Ga", "Ga", "Ga", "Ni", "Ni", "Ni"], "fractional_positions": [[0.000, 0.000, 0.000], [0.319, 0.319, 0.000], [0.681, 0.681, 0.000], [0.026, 0.662, 0.364], [0.168, 0.881, 0.287], [0.298, 0.662, 0.636], [0.406, 0.119, 0.287], [0.594, 0.881, 0.713], [0.702, 0.338, 0.364], [0.832, 0.119, 0.713], [0.974, 0.338, 0.636], [0.288, 0.500, 0.788], [0.500, 0.000, 0.500], [0.712, 0.500, 0.212]]}


two) {"formula": "Pm3Ga8Ni3", "functional": "GGA-PBE", "state": "relaxed", "rho_g_cm3": 7.7, "lattice": [[7.859, -2.197, 0.000], [7.859, 2.197, 0.000], [-4.692, 0.000, 7.324]], "species": ["Pm", "Pm", "Pm", "Ga", "Ga", "Ga", "Ga", "Ga", "Ga", "Ga", "Ga", "Ni", "Ni", "Ni"], "fractional_positions": [[0.000, 0.000, 0.000], [0.287, 0.287, 0.301], [0.713, 0.713, 0.699], [0.132, 0.132, 0.425], [0.155, 0.155, 0.874], [0.353, 0.353, 0.732], [0.489, 0.489, 0.318], [0.511, 0.511, 0.682], [0.647, 0.647, 0.268], [0.845, 0.845, 0.126], [0.868, 0.868, 0.575], [0.000, 0.000, 0.500], [0.345, 0.345, 0.000], [0.655, 0.655, 0.000]]}


Stability summary - winner: one); margin: 0.017 eV/atom.


one) {"formula": "PmGaNi4", "functional": "GGA-PBE", "state": "relaxed", "rho_g_cm3": 8.7, "lattice": [[0.000, 3.503, 3.503], [3.503, 0.000, 3.503], [3.503, 3.503, 0.000]], "species": ["Pm", "Ga", "Ni", "Ni", "Ni", "Ni"], "fractional_positions": [[0.000, 0.000, 0.000], [0.750, 0.750, 0.750], [0.377, 0.377, 0.377], [0.377, 0.377, 0.870], [0.377, 0.870, 0.377], [0.870, 0.377, 0.377]]}


two) {"formula": "PmGaNi4", "functional": "GGA-PBE", "state": "relaxed", "rho_g_cm3": 8.3, "lattice": [[7.087, 0.000, 0.000], [0.000, 3.774, 0.000], [0.000, 0.000, 6.743]], "species": ["Pm", "Pm", "Ga", "Ga", "Ni", "Ni", "Ni", "Ni", "Ni", "Ni", "Ni", "Ni"], "fractional_positions": [[0.250, 0.000, 0.146], [0.750, 0.000, 0.854], [0.250, 0.000, 0.718], [0.750, 0.000, 0.282], [0.000, 0.000, 0.500], [0.048, 0.500, 0.774], [0.250, 0.500, 0.463], [0.452, 0.500, 0.774], [0.500, 0.000, 0.500], [0.548, 0.500, 0.226], [0.750, 0.500, 0.537], [0.952, 0.500, 0.226]]}


Stability summary - winner: one); margin: 0.091 eV/atom.


one) {"formula": "PrGa4Ni2", "functional": "GGA-PBE", "state": "relaxed", "rho_g_cm3": 7.5, "lattice": [[17.004, 0.000, 0.000], [0.000, 4.108, 0.000], [0.000, 0.000, 6.827]], "species": ["Pr", "Pr", "Pr", "Pr", "Ga", "Ga", "Ga", "Ga", "Ga", "Ga", "Ga", "Ga", "Ga", "Ga", "Ga", "Ga", "Ga", "Ga", "Ga", "Ga", "Ni", "Ni", "Ni", "Ni", "Ni", "Ni", "Ni", "Ni"], "fractional_positions": [[0.121, 0.250, 0.017], [0.379, 0.750, 0.517], [0.621, 0.250, 0.483], [0.879, 0.750, 0.983], [0.036, 0.750, 0.738], [0.095, 0.250, 0.507], [0.186, 0.750, 0.343], [0.203, 0.750, 0.734], [0.297, 0.250, 0.234], [0.314, 0.250, 0.843], [0.405, 0.750, 0.007], [0.464, 0.250, 0.238], [0.536, 0.750, 0.762], [0.595, 0.250, 0.993], [0.686, 0.750, 0.157], [0.703, 0.750, 0.766], [0.797, 0.250, 0.266], [0.814, 0.250, 0.657], [0.905, 0.750, 0.493], [0.964, 0.250, 0.262], [0.036, 0.750, 0.343], [0.233, 0.250, 0.548], [0.267, 0.750, 0.048], [0.464, 0.250, 0.843], [0.536, 0.750, 0.157], [0.733, 0.250, 0.952], [0.767, 0.750, 0.452], [0.964, 0.250, 0.657]]}


two) {"formula": "PrGa4Ni2", "functional": "GGA-PBE", "state": "relaxed", "rho_g_cm3": 7.5, "lattice": [[7.694, 0.000, 0.000], [0.000, 7.694, 0.000], [0.000, 0.000, 4.003]], "species": ["Pr", "Pr", "Ga", "Ga", "Ga", "Ga", "Ga", "Ga", "Ga", "Ga", "Ni", "Ni", "Ni", "Ni"], "fractional_positions": [[0.000, 0.000, 0.000], [0.500, 0.500, 0.500], [0.080, 0.327, 0.500], [0.173, 0.580, 0.000], [0.327, 0.080, 0.500], [0.420, 0.827, 0.000], [0.580, 0.173, 0.000], [0.673, 0.920, 0.500], [0.827, 0.420, 0.000], [0.920, 0.673, 0.500], [0.220, 0.780, 0.500], [0.280, 0.280, 0.000], [0.720, 0.720, 0.000], [0.780, 0.220, 0.500]]}


Stability summary - winner: one); margin: 0.117 eV/atom.


one) {"formula": "Pr8Ga2Ni", "functional": "GGA-PBE", "state": "relaxed", "rho_g_cm3": 6.8, "lattice": [[-2.478, 4.507, 7.224], [2.478, -4.507, 7.224], [2.478, 4.507, -7.224]], "species": ["Pr", "Pr", "Pr", "Pr", "Pr", "Pr", "Pr", "Pr", "Ga", "Ga", "Ni"], "fractional_positions": [[0.121, 0.341, 0.780], [0.125, 0.125, 0.000], [0.332, 0.000, 0.332], [0.440, 0.659, 0.780], [0.560, 0.341, 0.220], [0.668, 0.000, 0.668], [0.875, 0.875, 0.000], [0.879, 0.659, 0.220], [0.300, 0.800, 0.500], [0.700, 0.200, 0.500], [0.000, 0.500, 0.500]]}


two) {"formula": "Pr8Ga2Ni", "functional": "GGA-PBE", "state": "relaxed", "rho_g_cm3": 6.8, "lattice": [[9.470, -2.527, 0.000], [9.470, 2.527, 0.000], [-1.532, 0.000, 6.781]], "species": ["Pr", "Pr", "Pr", "Pr", "Pr", "Pr", "Pr", "Pr", "Ga", "Ga", "Ni"], "fractional_positions": [[0.019, 0.019, 0.282], [0.210, 0.210, 0.810], [0.348, 0.348, 0.521], [0.407, 0.407, 0.036], [0.593, 0.593, 0.964], [0.652, 0.652, 0.479], [0.790, 0.790, 0.190], [0.981, 0.981, 0.718], [0.185, 0.185, 0.246], [0.815, 0.815, 0.754], [0.500, 0.500, 0.500]]}


Stability summary - winner: two); margin: 0.108 eV/atom.


one) {"formula": "Pr4GaNi", "functional": "GGA-PBE", "state": "relaxed", "rho_g_cm3": 6.3, "lattice": [[2.613, -10.496, 0.000], [2.613, 10.496, 0.000], [0.000, 0.000, 6.620]], "species": ["Pr", "Pr", "Pr", "Pr", "Pr", "Pr", "Pr", "Pr", "Ga", "Ga", "Ni", "Ni"], "fractional_positions": [[0.049, 0.951, 0.500], [0.195, 0.805, 0.748], [0.196, 0.804, 0.254], [0.406, 0.594, 0.502], [0.594, 0.406, 0.002], [0.804, 0.196, 0.754], [0.805, 0.195, 0.248], [0.951, 0.049, 0.000], [0.345, 0.655, 0.001], [0.655, 0.345, 0.501], [0.082, 0.918, 0.001], [0.918, 0.082, 0.501]]}


two) {"formula": "Pr4GaNi", "functional": "GGA-PBE", "state": "relaxed", "rho_g_cm3": 6.6, "lattice": [[6.340, 0.000, 0.000], [0.000, 7.036, 0.000], [-2.794, 0.000, 7.851]], "species": ["Pr", "Pr", "Pr", "Pr", "Pr", "Pr", "Pr", "Pr", "Ga", "Ga", "Ni", "Ni"], "fractional_positions": [[0.014, 0.002, 0.229], [0.014, 0.498, 0.229], [0.415, 0.250, 0.624], [0.435, 0.250, 0.087], [0.565, 0.750, 0.913], [0.585, 0.750, 0.376], [0.986, 0.502, 0.771], [0.986, 0.998, 0.771], [0.216, 0.750, 0.555], [0.784, 0.250, 0.445], [0.224, 0.750, 0.056], [0.776, 0.250, 0.944]]}


Stability summary - winner: two); margin: 0.084 eV/atom.